Entry 1:
Computed, not measured: a relaxed structure of CaMn at the GGA-PBE level of DFT.

The structure in POSCAR format:
```
CaMn
1.0
-2.651 1.131 2.023
0.574 -2.658 2.238
5.325 4.777 4.307
Mn Ca
2 2
Cartesian
0.738 0.915 5.053
2.509 2.335 3.515
0.484 0.519 1.877
2.763 2.732 6.691
```

Summary:
space group	No. 129

Entry 2:
Computed, not measured: a relaxed structure of CaMn2 at the GGA-PBE level of DFT.

The structure in POSCAR format:
```
CaMn2
1.0
3.203 0.000 0.000
0.000 3.203 0.000
0.000 0.000 5.199
Mn Ca
2 1
Cartesian
0.000 1.601 2.600
1.601 0.000 2.600
0.000 0.000 0.000
```

Summary:
space group	No. 123

Entry 3:
Computed, not measured: a relaxed structure of CaMn at the GGA-PBE level of DFT.

The structure in POSCAR format:
```
CaMn
1.0
-2.689 -1.202 -1.425
1.619 -2.746 -0.740
-2.368 -3.365 7.306
Ca Mn
2 2
Cartesian
-0.983 -2.004 1.667
-2.455 -5.309 3.475
-1.612 -1.588 -1.254
0.542 -2.360 -0.911
```

Summary:
space group	No. 129

Entry 4:
Computed, not measured: a relaxed structure of Ca3Mn at the GGA-PBE level of DFT.

The structure in POSCAR format:
```
Ca3Mn
1.0
-5.781 -2.858 1.682
4.014 -3.468 -4.035
2.931 3.813 4.615
Ca Mn
3 1
Cartesian
-0.884 -3.163 -1.177
0.000 0.000 0.000
-1.425 0.477 3.148
3.472 0.172 0.290
```

Summary:
space group	No. 166

Entry 5:
Computed, not measured: a relaxed structure of CaMn3 at the GGA-PBE level of DFT.

The structure in POSCAR format:
```
CaMn3
1.0
4.153 0.000 0.000
0.000 4.153 0.000
0.000 0.000 4.172
Mn Ca
3 1
Cartesian
0.000 2.076 2.086
2.076 0.000 2.086
2.076 2.076 0.000
0.000 0.000 0.000
```

Summary:
space group	No. 123

Entry 6:
Computed, not measured: a relaxed structure of CaMn at the GGA-PBE level of DFT.

The structure in POSCAR format:
```
CaMn
1.0
3.476 0.000 0.000
-1.738 3.011 0.000
0.000 0.000 9.976
Ca Mn
2 2
Cartesian
1.738 1.004 2.919
0.000 0.000 9.550
1.738 1.004 7.144
0.000 0.000 5.325
```

Summary:
space group	No. 164

Entry 7:
Computed, not measured: a relaxed structure of Ca2Mn at the GGA-PBE level of DFT.

The structure in POSCAR format:
```
Ca2Mn
1.0
3.724 0.000 0.000
-1.862 3.225 0.000
0.000 0.000 7.857
Mn Ca
1 2
Cartesian
0.000 0.000 0.000
1.862 1.075 5.605
0.000 2.150 2.252
```

Summary:
space group	No. 164

Entry 8:
Computed, not measured: a relaxed structure of CaMn at the GGA-PBE level of DFT.

The structure in POSCAR format:
```
CaMn
1.0
8.885 0.000 0.000
0.000 8.885 0.000
0.000 0.000 8.885
Mn Ca
8 8
Cartesian
0.872 8.013 0.872
8.013 8.013 8.013
3.571 3.571 3.571
8.013 0.872 0.872
3.571 5.314 5.314
0.872 0.872 8.013
5.314 3.571 5.314
5.314 5.314 3.571
1.843 7.042 7.042
7.042 1.843 7.042
6.285 2.600 2.600
7.042 7.042 1.843
1.843 1.843 1.843
2.600 2.600 6.285
2.600 6.285 2.600
6.285 6.285 6.285
```

Summary:
space group	No. 217

Size of the total moment in μB per cell, matching the order above: 7.4 0.0 0.0 4.3 10.6 7.7 3.6 27.0
DOS at the Fermi energy in states/eV/cell, matching the order above: 5.73 3.32 5.19 4.69 4.50 3.79 2.99 19.09
Uncorrected energy in eV for the cell shown, matching the order above: -20.56 -18.39 -20.07 -13.48 -26.85 -19.73 -11.70 -74.06